18
Lattice="-3.036 2.871 -0.281 -3.024 -6.825 -5.868 -6.167 -5.576 9.662" Properties=species:S:1:pos:R:3 comment="Y2ScCuTe5 | Alexandria via LeMat-Bulk | GGA-PBE | optimized geometry" final_energy_ev_per_cell=-98.01 spacegroup="Cmc2_1, No. 36" magmom_total_mub_per_atom=0.000 e_form_raw_ev_per_fu=-9.9 pbc="T T T"
Te -4.494 -1.806 -1.113
Te -0.795 -0.827 0.142
Te -9.395 -9.775 1.608
Te -9.341 -9.343 5.445
Te -6.701 -6.790 3.010
Te -3.297 -0.174 2.633
Te -9.175 -6.662 -0.165
Te -5.957 -2.962 2.879
Te -8.466 -5.337 5.718
Te -4.927 -5.246 -0.378
Cu -6.707 -7.157 -0.678
Cu -8.108 -4.712 8.246
Sc -1.763 -2.074 -2.151
Sc -7.506 -4.780 1.030
Y -5.233 -5.014 5.297
Y -9.863 -7.067 3.138
Y -3.023 -3.059 1.409
Y -6.201 -3.797 -3.027